[1]
Here is a relaxed structure of MoPtSeN2 from Alexandria via LeMat-Bulk. Energies are from PBE.

CIF file:
```
data_MoPtSeN2
_space_group_name_H-M_alt 'P 4/m m m'
_space_group_IT_number 123
_space_group_name_Hall '-P 4 2'
_cell_length_a 3.7373
_cell_length_b 3.7373
_cell_length_c 8.0956
_cell_angle_alpha 90.00
_cell_angle_beta 90.00
_cell_angle_gamma 90.00
loop_
_atom_site_label
_atom_site_fract_x
_atom_site_fract_y
_atom_site_fract_z
Mo1 0.0000 0.0000 0.0000
Pt1 0.5000 0.5000 0.5000
Se1 0.5000 0.5000 0.0000
N1 0.0000 0.5000 0.5000
```

excess energy over the best structure of this formula in the dataset	674.3	meV/atom
N(E_F)	3.448	states/eV/f.u.
energy	-30.17	eV per formula unit
formation energy without anion corrections	31.53	kcal/mol of atoms

---

[2]
Here is a relaxed structure of TaMo2PtN from Alexandria via LeMat-Bulk. Energies are from PBE.

CIF file:
```
data_TaMo2PtN
_space_group_name_H-M_alt 'P 4/m m m'
_space_group_IT_number 123
_space_group_name_Hall '-P 4 2'
_cell_length_a 4.1082
_cell_length_b 4.1082
_cell_length_c 4.2244
_cell_angle_alpha 90.00
_cell_angle_beta 90.00
_cell_angle_gamma 90.00
loop_
_atom_site_label
_atom_site_fract_x
_atom_site_fract_y
_atom_site_fract_z
Ta1 0.0000 0.0000 0.0000
Mo1 0.0000 0.5000 0.5000
Pt1 0.5000 0.5000 0.0000
N1 0.0000 0.0000 0.5000
```

N(E_F)	3.979	states/eV/f.u.
energy	-50.16	eV per formula unit
formation energy without anion corrections	-10.51	kcal/mol of atoms

---

[3]
Here is a relaxed structure of Ta2MoPtN from Alexandria via LeMat-Bulk. Energies are from PBE.

CIF file:
```
data_Ta2MoPtN
_space_group_name_H-M_alt 'P 4/m m m'
_space_group_IT_number 123
_space_group_name_Hall '-P 4 2'
_cell_length_a 4.2321
_cell_length_b 4.2321
_cell_length_c 4.0946
_cell_angle_alpha 90.00
_cell_angle_beta 90.00
_cell_angle_gamma 90.00
loop_
_atom_site_label
_atom_site_fract_x
_atom_site_fract_y
_atom_site_fract_z
Ta1 0.0000 0.5000 0.0000
Mo1 0.0000 0.0000 0.5000
Pt1 0.5000 0.5000 0.5000
N1 0.0000 0.0000 0.0000
```

N(E_F)	4.724	states/eV/f.u.
energy	-51.84	eV per formula unit
formation energy without anion corrections	-13.54	kcal/mol of atoms

---

[4]
Here is a relaxed structure of Mo2PtWN from Alexandria via LeMat-Bulk. Energies are from PBE.

CIF file:
```
data_Mo2PtWN
_space_group_name_H-M_alt 'P 4/m m m'
_space_group_IT_number 123
_space_group_name_Hall '-P 4 2'
_cell_length_a 4.1152
_cell_length_b 4.1152
_cell_length_c 4.1054
_cell_angle_alpha 90.00
_cell_angle_beta 90.00
_cell_angle_gamma 90.00
loop_
_atom_site_label
_atom_site_fract_x
_atom_site_fract_y
_atom_site_fract_z
Mo1 0.0000 0.5000 0.0000
Pt1 0.0000 0.0000 0.5000
W1 0.5000 0.5000 0.5000
N1 0.5000 0.5000 0.0000
```

N(E_F)	3.595	states/eV/f.u.
energy	-50.13	eV per formula unit
formation energy without anion corrections	-5.28	kcal/mol of atoms

---

[5]
Here is a relaxed structure of PuMo4N6 from Alexandria via LeMat-Bulk. Energies are from PBE.

CIF file:
```
data_PuMo4N6
_space_group_name_H-M_alt 'C m c m'
_space_group_IT_number 63
_space_group_name_Hall '-C 2c 2'
_cell_length_a 3.2715
_cell_length_b 9.8216
_cell_length_c 15.1095
_cell_angle_alpha 90.00
_cell_angle_beta 90.00
_cell_angle_gamma 90.00
loop_
_atom_site_label
_atom_site_fract_x
_atom_site_fract_y
_atom_site_fract_z
Pu1 0.0000 0.1575 0.2500
Mo1 0.0000 0.1076 0.6257
Mo2 0.0000 0.3462 0.5428
N1 0.0000 0.0000 0.0000
N2 0.0000 0.1574 0.7500
N3 0.0000 0.2530 0.0933
N4 0.0000 0.4690 0.6547
```

N(E_F)	11.582	states/eV/f.u.
energy	-112.85	eV per formula unit
formation energy without anion corrections	-10.98	kcal/mol of atoms

---

[6]
Here is a relaxed structure of Pu3MoN7 from Alexandria via LeMat-Bulk. Energies are from PBE.

CIF file:
```
data_Pu3MoN7
_space_group_name_H-M_alt 'C 2 2 21'
_space_group_IT_number 20
_cell_length_a 7.4130
_cell_length_b 10.4088
_cell_length_c 7.3318
_cell_angle_alpha 90.00
_cell_angle_beta 90.00
_cell_angle_gamma 90.00
loop_
_space_group_symop_operation_xyz
'x,y,z'
'-x,-y,z+1/2'
'x,-y,-z'
'-x,y,-z+1/2'
'x+1/2,y+1/2,z'
'-x+1/2,-y+1/2,z+1/2'
'x+1/2,-y+1/2,-z'
'-x+1/2,y+1/2,-z+1/2'
loop_
_atom_site_label
_atom_site_fract_x
_atom_site_fract_y
_atom_site_fract_z
Pu1 0.0152 0.0000 0.0000
Pu2 0.2324 0.2686 0.7562
Mo1 0.0331 0.5000 0.0000
N1 0.0000 0.1282 0.2500
N2 0.0000 0.1445 0.7500
N3 0.0000 0.4293 0.7500
N4 0.2075 0.3738 0.0420
N5 0.2264 0.3696 0.4828
```

N(E_F)	14.522	states/eV/f.u.
energy	-120.10	eV per formula unit
formation energy without anion corrections	-16.76	kcal/mol of atoms

---

[7]
Here is a relaxed structure of PuMoN2 from Alexandria via LeMat-Bulk. Energies are from PBE.

CIF file:
```
data_PuMoN2
_space_group_name_H-M_alt 'R -3 m'
_space_group_IT_number 166
_space_group_name_Hall '-R 3 2"'
_cell_length_a 3.2871
_cell_length_b 3.2871
_cell_length_c 15.4661
_cell_angle_alpha 90.00
_cell_angle_beta 90.00
_cell_angle_gamma 120.00
loop_
_atom_site_label
_atom_site_fract_x
_atom_site_fract_y
_atom_site_fract_z
Pu1 0.0000 0.0000 0.0000
Mo1 0.0000 0.0000 0.5000
N1 0.0000 0.0000 0.2427
```

excess energy over the best structure of this formula in the dataset	154.0	meV/atom
N(E_F)	6.480	states/eV/f.u.
energy	-45.12	eV per formula unit
formation energy without anion corrections	-19.04	kcal/mol of atoms

---

[8]
Here is a relaxed structure of Pu5MoN8 from Alexandria via LeMat-Bulk. Energies are from PBE.

CIF file:
```
data_Pu5MoN8
_space_group_name_H-M_alt 'I -4'
_space_group_IT_number 82
_cell_length_a 7.1015
_cell_length_b 7.1015
_cell_length_c 7.1767
_cell_angle_alpha 90.00
_cell_angle_beta 90.00
_cell_angle_gamma 90.00
loop_
_space_group_symop_operation_xyz
'x,y,z'
'y,-x,-z'
'-x,-y,z'
'-y,x,-z'
'x+1/2,y+1/2,z+1/2'
'y+1/2,-x+1/2,-z+1/2'
'-x+1/2,-y+1/2,z+1/2'
'-y+1/2,x+1/2,-z+1/2'
loop_
_atom_site_label
_atom_site_fract_x
_atom_site_fract_y
_atom_site_fract_z
Pu1 0.0000 0.0000 0.0000
Pu2 0.1420 0.7449 0.3794
Mo1 0.0000 0.5000 0.7500
N1 0.0521 0.7822 0.6913
N2 0.0678 0.6890 0.0727
```

N(E_F)	25.859	states/eV/f.u.
energy	-161.35	eV per formula unit
formation energy without anion corrections	-20.19	kcal/mol of atoms

---

[9]
Here is a relaxed structure of PuMoN2 from Alexandria via LeMat-Bulk. Energies are from PBE.

CIF file:
```
data_PuMoN2
_space_group_name_H-M_alt 'P n m a'
_space_group_IT_number 62
_cell_length_a 5.6119
_cell_length_b 3.2265
_cell_length_c 10.8118
_cell_angle_alpha 90.00
_cell_angle_beta 90.00
_cell_angle_gamma 90.00
loop_
_space_group_symop_operation_xyz
'x,y,z'
'-x,-y,-z'
'-x+1/2,-y,z+1/2'
'x+1/2,y,-z+1/2'
'x+1/2,-y+1/2,-z+1/2'
'-x+1/2,y+1/2,z+1/2'
'-x,y+1/2,-z'
'x,-y+1/2,z'
loop_
_atom_site_label
_atom_site_fract_x
_atom_site_fract_y
_atom_site_fract_z
Pu1 0.0758 0.2500 0.1435
Mo1 0.0716 0.7500 0.4003
N1 0.1624 0.2500 0.7557
N2 0.2452 0.7500 0.9960
```

excess energy over the best structure of this formula in the dataset	0.0	meV/atom
N(E_F)	6.372	states/eV/f.u.
energy	-45.73	eV per formula unit
formation energy without anion corrections	-22.59	kcal/mol of atoms

---

[10]
Here is a relaxed structure of Pu2MoN3 from Alexandria via LeMat-Bulk. Energies are from PBE.

CIF file:
```
data_Pu2MoN3
_space_group_name_H-M_alt 'I m m m'
_space_group_IT_number 71
_space_group_name_Hall '-I 2 2'
_cell_length_a 3.3394
_cell_length_b 4.6899
_cell_length_c 9.8600
_cell_angle_alpha 90.00
_cell_angle_beta 90.00
_cell_angle_gamma 90.00
loop_
_atom_site_label
_atom_site_fract_x
_atom_site_fract_y
_atom_site_fract_z
Pu1 0.0000 0.0000 0.1652
Mo1 0.0000 0.0000 0.5000
N1 0.0000 0.5000 0.1545
N2 0.0000 0.5000 0.5000
```

N(E_F)	14.192	states/eV/f.u.
energy	-70.29	eV per formula unit
formation energy without anion corrections	-22.36	kcal/mol of atoms

---

[11]
Here is a relaxed structure of Pu3MoN6 from Alexandria via LeMat-Bulk. Energies are from PBE.

CIF file:
```
data_Pu3MoN6
_space_group_name_H-M_alt 'C m c 21'
_space_group_IT_number 36
_cell_length_a 8.9785
_cell_length_b 11.3600
_cell_length_c 5.4756
_cell_angle_alpha 90.00
_cell_angle_beta 90.00
_cell_angle_gamma 90.00
loop_
_space_group_symop_operation_xyz
'x,y,z'
'-x,-y,z+1/2'
'-x,y,z'
'x,-y,z+1/2'
'x+1/2,y+1/2,z'
'-x+1/2,-y+1/2,z+1/2'
'-x+1/2,y+1/2,z'
'x+1/2,-y+1/2,z+1/2'
loop_
_atom_site_label
_atom_site_fract_x
_atom_site_fract_y
_atom_site_fract_z
Pu1 0.0000 0.1028 0.0000
Pu2 0.1976 0.3947 0.0289
Mo1 0.0000 0.3039 0.5711
N1 0.0000 0.2894 0.2196
N2 0.0000 0.4531 0.7132
N3 0.1572 0.2348 0.7450
N4 0.1580 0.0126 0.2697
```

N(E_F)	15.660	states/eV/f.u.
energy	-113.69	eV per formula unit
formation energy without anion corrections	-22.85	kcal/mol of atoms

---

[12]
Here is a relaxed structure of Pu3MoN4 from Alexandria via LeMat-Bulk. Energies are from PBE.

CIF file:
```
data_Pu3MoN4
_space_group_name_H-M_alt 'P 1 2/c 1'
_space_group_IT_number 13
_cell_length_a 5.7636
_cell_length_b 6.6878
_cell_length_c 5.8653
_cell_angle_alpha 90.00
_cell_angle_beta 109.80
_cell_angle_gamma 90.00
loop_
_space_group_symop_operation_xyz
'x,y,z'
'-x,-y,-z'
'-x,y,-z+1/2'
'x,-y,z+1/2'
loop_
_atom_site_label
_atom_site_fract_x
_atom_site_fract_y
_atom_site_fract_z
Pu1 0.0000 0.1150 0.2500
Pu2 0.0000 0.3724 0.7500
Pu3 0.5000 0.3662 0.2500
Mo1 0.5000 0.1382 0.7500
N1 0.2623 0.3615 0.5105
N2 0.2770 0.1123 0.0044
```

N(E_F)	17.396	states/eV/f.u.
energy	-95.24	eV per formula unit
formation energy without anion corrections	-23.39	kcal/mol of atoms